[1]
Ce3Zn4Sn | PBE | optimized geometry

Cell: 4.432 6.654 14.065 Å, 90.00 90.00 90.00°
Fractional positions:
Ce1 0.000 0.000 0.000
Ce2 0.000 0.500 0.173
Ce3 0.000 0.500 0.827
Ce4 0.500 0.000 0.327
Ce5 0.500 0.000 0.673
Ce6 0.500 0.500 0.500
Zn1 0.000 0.309 0.363
Zn2 0.000 0.309 0.637
Zn3 0.000 0.691 0.363
Zn4 0.000 0.691 0.637
Zn5 0.500 0.191 0.137
Zn6 0.500 0.191 0.863
Zn7 0.500 0.809 0.137
Zn8 0.500 0.809 0.863
Sn1 0.000 0.000 0.500
Sn2 0.500 0.500 0.000

Output
Size of the total moment in μB per cell: 8.38
Formation energy from the elements in meV/atom: -62

***

[2]
LaNi2W | PBE | optimized geometry

Cell: 6.549 6.549 6.549 Å, 90.00 90.00 90.00°
Fractional positions:
La1 0.000 0.000 0.000
La2 0.000 0.500 0.500
La3 0.500 0.000 0.500
La4 0.500 0.500 0.000
Ni1 0.250 0.250 0.250
Ni2 0.250 0.250 0.750
Ni3 0.250 0.750 0.250
Ni4 0.250 0.750 0.750
Ni5 0.750 0.250 0.250
Ni6 0.750 0.250 0.750
Ni7 0.750 0.750 0.250
Ni8 0.750 0.750 0.750
W1 0.000 0.000 0.500
W2 0.000 0.500 0.000
W3 0.500 0.000 0.000
W4 0.500 0.500 0.500

Output
Size of the total moment in μB per cell: 6.88
Offset from the most stable computed form in eV per atom: 0.509
Formation energy from the elements in meV/atom: 484

***

Calculated total energy, record by record: -3.425, -6.877 eV/atom